Entry 1:
# Tb2PrS

A relaxed structure of Tb2PrS (PBE, Alexandria).

Cell lengths 9.7032, 9.7032, 9.7032 Å; angles 22.35, 22.35, 22.35 degrees
Sites, in units of the cell vectors:
Tb 0.0000 0.0000 0.0000
Tb 0.2148 0.2148 0.2148
Pr 0.7741 0.7741 0.7741
S 0.6072 0.6072 0.6072

Output
Energy: -0.403 Ry/atom
Space-group type: No. 160
Excess energy over the best structure of this formula in the dataset: 0.000 eV per atom
Raw formation energy: -0.95 eV/atom



Entry 2:
# Zr2SnAu

A relaxed structure of Zr2SnAu (PBE, Alexandria).

Cell lengths 3.7964, 3.7964, 5.9066 Å; angles 90.00, 90.00, 90.00 degrees
Sites, in units of the cell vectors:
Zr 0.0000 0.0000 0.2489
Zr 0.0000 0.0000 0.7511
Sn 0.5000 0.5000 0.5000
Au 0.5000 0.5000 0.0000

Output
Energy: -0.480 Ry/atom
Space-group type: No. 123



Entry 3:
# Tl2GaBiTe4

A relaxed structure of Tl2GaBiTe4 (PBE, Alexandria).

Cell lengths 7.1375, 7.1375, 7.1375 Å; angles 105.73, 105.73, 117.25 degrees
Sites, in units of the cell vectors:
Tl 0.0000 0.5000 0.5000
Tl 0.5000 0.0000 0.5000
Ga 0.0000 0.0000 0.0000
Bi 0.5000 0.5000 0.0000
Te 0.0355 0.3931 0.0000
Te 0.3931 0.0355 0.0000
Te 0.6069 0.6069 0.6424
Te 0.9645 0.9645 0.3576

Output
Energy: -0.243 Ry/atom
Space-group type: No. 121
Raw formation energy: -0.28 eV/atom



Entry 4:
# YScBe2B

A relaxed structure of YScBe2B (PBE, Alexandria).

Cell lengths 4.7850, 4.7850, 4.3800 Å; angles 90.00, 90.00, 90.00 degrees
Sites, in units of the cell vectors:
Y 0.0000 0.0000 0.0000
Sc 0.5000 0.5000 0.5000
Be 0.0000 0.5000 0.0000
Be 0.5000 0.0000 0.0000
B 0.0000 0.0000 0.5000

Output
Energy: -0.286 Ry/atom
Space-group type: No. 123



Entry 5:
# CdSiTcH2

A relaxed structure of CdSiTcH2 (PBE, Alexandria).

Cell lengths 3.7460, 3.7460, 5.5281 Å; angles 90.00, 90.00, 90.00 degrees
Sites, in units of the cell vectors:
Cd 0.0000 0.0000 0.0000
Si 0.0000 0.0000 0.5000
Tc 0.5000 0.5000 0.0000
H 0.0000 0.5000 0.5000
H 0.5000 0.0000 0.5000

Output
Energy: -0.261 Ry/atom
Space-group type: No. 123



Entry 6:
# Y2TlHPt

A relaxed structure of Y2TlHPt (PBE, Alexandria).

Cell lengths 5.1051, 5.1051, 3.7965 Å; angles 90.00, 90.00, 90.00 degrees
Sites, in units of the cell vectors:
Y 0.0000 0.5000 0.0000
Y 0.5000 0.0000 0.0000
Tl 0.0000 0.0000 0.5000
H 0.5000 0.5000 0.0000
Pt 0.5000 0.5000 0.5000

Output
Energy: -0.409 Ry/atom
Space-group type: No. 123